1.
Ag2HgI4 | GGA-PBE | relaxed

Lattice parameters (Å, degrees): 6.572 6.572 7.977 114.33 114.33 90.00
Fractional positions:
Ag (0.750, 0.250, 0.500)
Ag (0.250, 0.750, 0.500)
I (0.863, 0.863, 0.243)
I (0.380, 0.380, 0.243)
I (0.137, 0.620, 0.757)
I (0.620, 0.137, 0.757)
Hg (0.000, 0.000, 0.000)

Properties
ΔE_f (raw) ... -279 meV per atom
Raw total energy ... -14.2 eV for the cell shown
SG ... I-42m (121)

***

2.
CuReSe2 | GGA-PBE | relaxed

Lattice parameters (Å, degrees): 3.098 3.098 8.238 90.00 90.00 120.12
Fractional positions:
Se (0.000, 0.000, 0.505)
Se (0.000, 0.000, 0.995)
Re (0.500, 0.500, 0.750)
Cu (0.500, 0.500, 0.250)

Properties
Energy above the lowest structure with this stoichiometry ... 0.468 eV/atom
ΔE_f (raw) ... 647 meV per atom
Raw total energy ... -20.9 eV for the cell shown
SG ... Cmmm (65)

***

3.
Dy2Er3Tl | GGA-PBE | relaxed

Lattice parameters (Å, degrees): 4.848 4.828 7.895 107.81 90.00 90.00
Fractional positions:
Tl (0.000, 0.000, 0.000)
Dy (0.000, 0.338, 0.675)
Dy (0.000, 0.662, 0.325)
Er (0.500, 0.500, 0.000)
Er (0.500, 0.169, 0.338)
Er (0.500, 0.831, 0.662)

Properties
Raw total energy ... -25.9 eV for the cell shown
Calculated formation energy ... -0.1071 eV/atom
SG ... Cmmm (65)

***

4.
Ta2CuIr | GGA-PBE | relaxed

Lattice parameters (Å, degrees): 3.072 3.457 5.983 90.00 90.00 90.00
Fractional positions:
Ir (0.500, 0.500, 0.740)
Cu (0.000, 0.000, 0.504)
Ta (0.500, 0.500, 0.277)
Ta (0.000, 0.000, 0.979)

Properties
Raw total energy ... -37.6 eV for the cell shown
Calculated formation energy ... -0.2265 eV/atom
SG ... Pmm2 (25)